<i>
A relaxed TaRe2O crystal, computed with PBE-GGA.

Calculated values
Its crystal system is tetragonal.

Cell and atoms, written as CIF:
```
data_TaRe2O
_chemical_formula_sum 'Ta2 Re4 O2'
_cell_length_a 6.7442
_cell_length_b 6.7442
_cell_length_c 5.3735
_cell_angle_alpha 51.13
_cell_angle_beta 51.13
_cell_angle_gamma 90.00
_space_group_name_H-M_alt 'P 1'
_space_group_IT_number 1
loop_
_space_group_symop_operation_xyz
'x,y,z'
loop_
_atom_site_label
_atom_site_type_symbol
_atom_site_fract_x
_atom_site_fract_y
_atom_site_fract_z
Re1 Re 0.3750 0.4653 0.7500
Re2 Re 0.8750 0.7847 0.7500
Re3 Re 0.2153 0.6250 0.2500
Re4 Re 0.5347 0.1250 0.2500
O1 O 0.5000 0.5000 0.0000
O2 O 0.2500 0.7500 0.5000
Ta1 Ta 0.0000 0.0000 0.0000
Ta2 Ta 0.7500 0.2500 0.5000
```

<ii>
A relaxed TaRe2O crystal, computed with PBE-GGA.

Calculated values
Its crystal system is cubic.

Cell and atoms, written as CIF:
```
data_TaRe2O
_chemical_formula_sum 'Ta1 Re2 O1'
_cell_length_a 4.3644
_cell_length_b 4.3644
_cell_length_c 4.3644
_cell_angle_alpha 60.00
_cell_angle_beta 60.00
_cell_angle_gamma 60.00
_space_group_name_H-M_alt 'P 1'
_space_group_IT_number 1
loop_
_space_group_symop_operation_xyz
'x,y,z'
loop_
_atom_site_label
_atom_site_type_symbol
_atom_site_fract_x
_atom_site_fract_y
_atom_site_fract_z
O1 O 0.0000 0.0000 0.0000
Re1 Re 0.7500 0.7500 0.7500
Re2 Re 0.2500 0.2500 0.2500
Ta1 Ta 0.5000 0.5000 0.5000
```

Pick <i>: it beats the second-best structure by 711 meV/atom.

<i>
A relaxed Ta2ReO crystal, computed with PBE-GGA.

Calculated values
Its crystal system is cubic.

Cell and atoms, written as CIF:
```
data_Ta2ReO
_chemical_formula_sum 'Ta2 Re1 O1'
_cell_length_a 4.4124
_cell_length_b 4.4124
_cell_length_c 4.4124
_cell_angle_alpha 60.00
_cell_angle_beta 60.00
_cell_angle_gamma 60.00
_space_group_name_H-M_alt 'P 1'
_space_group_IT_number 1
loop_
_space_group_symop_operation_xyz
'x,y,z'
loop_
_atom_site_label
_atom_site_type_symbol
_atom_site_fract_x
_atom_site_fract_y
_atom_site_fract_z
O1 O 0.0000 0.0000 0.0000
Re1 Re 0.5000 0.5000 0.5000
Ta1 Ta 0.7500 0.7500 0.7500
Ta2 Ta 0.2500 0.2500 0.2500
```

<ii>
A relaxed Ta2ReO crystal, computed with PBE-GGA.

Calculated values
Its crystal system is tetragonal.

Cell and atoms, written as CIF:
```
data_Ta2ReO
_chemical_formula_sum 'Ta4 Re2 O2'
_cell_length_a 6.1722
_cell_length_b 6.1722
_cell_length_c 5.4647
_cell_angle_alpha 55.62
_cell_angle_beta 55.62
_cell_angle_gamma 90.00
_space_group_name_H-M_alt 'P 1'
_space_group_IT_number 1
loop_
_space_group_symop_operation_xyz
'x,y,z'
loop_
_atom_site_label
_atom_site_type_symbol
_atom_site_fract_x
_atom_site_fract_y
_atom_site_fract_z
Ta1 Ta 0.5500 0.1250 0.2500
Ta2 Ta 0.8750 0.8000 0.7500
Ta3 Ta 0.2000 0.6250 0.2500
Ta4 Ta 0.3750 0.4500 0.7500
Re1 Re 0.7500 0.2500 0.5000
Re2 Re 0.0000 0.0000 0.0000
O1 O 0.2500 0.7500 0.5000
O2 O 0.5000 0.5000 0.0000
```

Pick <ii>: it beats the second-best structure by 613 meV/atom.

<i>
A relaxed TaReO2 crystal, computed with PBE-GGA.

Calculated values
Its crystal system is cubic.

Cell and atoms, written as CIF:
```
data_TaReO2
_chemical_formula_sum 'Ta1 Re1 O2'
_cell_length_a 4.0069
_cell_length_b 4.0069
_cell_length_c 4.0069
_cell_angle_alpha 60.00
_cell_angle_beta 60.00
_cell_angle_gamma 60.00
_space_group_name_H-M_alt 'P 1'
_space_group_IT_number 1
loop_
_space_group_symop_operation_xyz
'x,y,z'
loop_
_atom_site_label
_atom_site_type_symbol
_atom_site_fract_x
_atom_site_fract_y
_atom_site_fract_z
O1 O 0.2500 0.2500 0.2500
O2 O 0.7500 0.7500 0.7500
Re1 Re 0.5000 0.5000 0.5000
Ta1 Ta 0.0000 0.0000 0.0000
```

<ii>
A relaxed TaReO2 crystal, computed with PBE-GGA.

Calculated values
Its crystal system is trigonal.

Cell and atoms, written as CIF:
```
data_TaReO2
_chemical_formula_sum 'Ta1 Re1 O2'
_cell_length_a 7.1297
_cell_length_b 7.1297
_cell_length_c 7.1297
_cell_angle_alpha 22.47
_cell_angle_beta 22.47
_cell_angle_gamma 22.47
_space_group_name_H-M_alt 'P 1'
_space_group_IT_number 1
loop_
_space_group_symop_operation_xyz
'x,y,z'
loop_
_atom_site_label
_atom_site_type_symbol
_atom_site_fract_x
_atom_site_fract_y
_atom_site_fract_z
O1 O 0.0974 0.0974 0.0974
O2 O 0.9026 0.9026 0.9026
Ta1 Ta 0.5000 0.5000 0.5000
Re1 Re 0.0000 0.0000 0.0000
```

<iii>
A relaxed TaReO2 crystal, computed with PBE-GGA.

Calculated values
Its crystal system is tetragonal.

Cell and atoms, written as CIF:
```
data_TaReO2
_chemical_formula_sum 'Ta2 Re2 O4'
_cell_length_a 3.9164
_cell_length_b 3.9164
_cell_length_c 6.9677
_cell_angle_alpha 73.68
_cell_angle_beta 73.68
_cell_angle_gamma 90.00
_space_group_name_H-M_alt 'P 1'
_space_group_IT_number 1
loop_
_space_group_symop_operation_xyz
'x,y,z'
loop_
_atom_site_label
_atom_site_type_symbol
_atom_site_fract_x
_atom_site_fract_y
_atom_site_fract_z
O1 O 0.3750 0.3758 0.7500
O2 O 0.1258 0.6250 0.2500
O3 O 0.6242 0.1250 0.2500
O4 O 0.8750 0.8742 0.7500
Ta1 Ta 0.5000 0.5000 0.0000
Ta2 Ta 0.2500 0.7500 0.5000
Re1 Re 0.7500 0.2500 0.5000
Re2 Re 0.0000 0.0000 0.0000
```

Pick <ii>: it beats the second-best structure by 364 meV/atom.

<i>
A relaxed TbRe2O8 crystal, computed with PBE-GGA.

Calculated values
Its crystal system is monoclinic.

Cell and atoms, written as CIF:
```
data_TbRe2O8
_chemical_formula_sum 'Tb1 Re2 O8'
_cell_length_a 5.7888
_cell_length_b 6.4786
_cell_length_c 6.4786
_cell_angle_alpha 60.50
_cell_angle_beta 78.89
_cell_angle_gamma 78.89
_space_group_name_H-M_alt 'P 1'
_space_group_IT_number 1
loop_
_space_group_symop_operation_xyz
'x,y,z'
loop_
_atom_site_label
_atom_site_type_symbol
_atom_site_fract_x
_atom_site_fract_y
_atom_site_fract_z
O1 O 0.1900 0.9217 0.3228
O2 O 0.8100 0.6772 0.0783
O3 O 0.6455 0.1385 0.1385
O4 O 0.1900 0.3228 0.9217
O5 O 0.7582 0.6504 0.6504
O6 O 0.2418 0.3496 0.3496
O7 O 0.3545 0.8615 0.8615
O8 O 0.8100 0.0783 0.6772
Re1 Re 0.6706 0.8087 0.8087
Re2 Re 0.3294 0.1913 0.1913
Tb1 Tb 0.0000 0.0000 0.0000
```

<ii>
A relaxed TbRe2O8 crystal, computed with PBE-GGA.

Calculated values
Its crystal system is cubic.

Cell and atoms, written as CIF:
```
data_TbRe2O8
_chemical_formula_sum 'Tb1 Re2 O8'
_cell_length_a 6.7787
_cell_length_b 6.7786
_cell_length_c 6.7807
_cell_angle_alpha 120.00
_cell_angle_beta 120.00
_cell_angle_gamma 90.01
_space_group_name_H-M_alt 'P 1'
_space_group_IT_number 1
loop_
_space_group_symop_operation_xyz
'x,y,z'
loop_
_atom_site_label
_atom_site_type_symbol
_atom_site_fract_x
_atom_site_fract_y
_atom_site_fract_z
Re1 Re 0.7500 0.2500 0.5000
Re2 Re 0.2500 0.7500 0.5000
O1 O 0.3565 0.0696 0.7131
O2 O 0.9304 0.6435 0.2869
O3 O 0.6436 0.3566 0.7131
O4 O 0.0696 0.3565 0.7131
O5 O 0.6435 0.9304 0.2869
O6 O 0.3564 0.6434 0.2869
O7 O 0.3566 0.6436 0.7131
O8 O 0.6434 0.3564 0.2869
Tb1 Tb 0.5000 0.5000 0.0000
```

Pick <ii>: it beats the second-best structure by 152 meV/atom.

<i>
A relaxed ReTcO4 crystal, computed with PBE-GGA.

Calculated values
Its crystal system is tetragonal.

Cell and atoms, written as CIF:
```
data_ReTcO4
_chemical_formula_sum 'Re2 Tc2 O8'
_cell_length_a 4.9612
_cell_length_b 4.9612
_cell_length_c 9.2561
_cell_angle_alpha 90.00
_cell_angle_beta 90.00
_cell_angle_gamma 90.00
_space_group_name_H-M_alt 'P 1'
_space_group_IT_number 1
loop_
_space_group_symop_operation_xyz
'x,y,z'
loop_
_atom_site_label
_atom_site_type_symbol
_atom_site_fract_x
_atom_site_fract_y
_atom_site_fract_z
O1 O 0.1678 0.7357 0.1226
O2 O 0.2643 0.1678 0.8774
O3 O 0.7357 0.1678 0.6226
O4 O 0.1678 0.2643 0.3774
O5 O 0.7357 0.8322 0.8774
O6 O 0.8322 0.2643 0.1226
O7 O 0.2643 0.8322 0.6226
O8 O 0.8322 0.7357 0.3774
Tc1 Tc 0.0000 0.0000 0.0000
Tc2 Tc 0.0000 0.0000 0.5000
Re1 Re 0.0000 0.5000 0.2500
Re2 Re 0.5000 0.0000 0.7500
```

<ii>
A relaxed ReTcO4 crystal, computed with PBE-GGA.

Calculated values
Its crystal system is tetragonal.

Cell and atoms, written as CIF:
```
data_ReTcO4
_chemical_formula_sum 'Re2 Tc2 O8'
_cell_length_a 5.6247
_cell_length_b 5.6247
_cell_length_c 5.6247
_cell_angle_alpha 104.40
_cell_angle_beta 104.40
_cell_angle_gamma 120.17
_space_group_name_H-M_alt 'P 1'
_space_group_IT_number 1
loop_
_space_group_symop_operation_xyz
'x,y,z'
loop_
_atom_site_label
_atom_site_type_symbol
_atom_site_fract_x
_atom_site_fract_y
_atom_site_fract_z
O1 O 0.7499 0.4480 0.6981
O2 O 0.2507 0.9717 0.7210
O3 O 0.7217 0.5007 0.2210
O4 O 0.2797 0.5007 0.7790
O5 O 0.8018 0.9999 0.8019
O6 O 0.7499 0.0518 0.3019
O7 O 0.2507 0.5297 0.2790
O8 O 0.1980 0.9999 0.1981
Tc1 Tc 0.7308 0.7308 0.0000
Tc2 Tc 0.4808 0.9808 0.5000
Re1 Re 0.2680 0.2680 0.0000
Re2 Re 0.0180 0.5180 0.5000
```

Pick <ii>: it beats the second-best structure by 458 meV/atom.

<i>
A relaxed ReTcO5 crystal, computed with PBE-GGA.

Calculated values
Its crystal system is monoclinic.

Cell and atoms, written as CIF:
```
data_ReTcO5
_chemical_formula_sum 'Re2 Tc2 O10'
_cell_length_a 6.1698
_cell_length_b 6.1698
_cell_length_c 6.8327
_cell_angle_alpha 95.65
_cell_angle_beta 95.65
_cell_angle_gamma 126.85
_space_group_name_H-M_alt 'P 1'
_space_group_IT_number 1
loop_
_space_group_symop_operation_xyz
'x,y,z'
loop_
_atom_site_label
_atom_site_type_symbol
_atom_site_fract_x
_atom_site_fract_y
_atom_site_fract_z
O1 O 0.0726 0.9274 0.2500
O2 O 0.7350 0.6040 0.4931
O3 O 0.0704 0.3423 0.1285
O4 O 0.9296 0.6577 0.8715
O5 O 0.3423 0.0704 0.6285
O6 O 0.9274 0.0726 0.7500
O7 O 0.2650 0.3960 0.5069
O8 O 0.6577 0.9296 0.3715
O9 O 0.6040 0.7350 0.9931
O10 O 0.3960 0.2650 0.0069
Re1 Re 0.0000 0.0000 0.0000
Re2 Re 0.0000 0.0000 0.5000
Tc1 Tc 0.4431 0.5569 0.2500
Tc2 Tc 0.5569 0.4431 0.7500
```

<ii>
A relaxed ReTcO5 crystal, computed with PBE-GGA.

Calculated values
Its crystal system is monoclinic.

Cell and atoms, written as CIF:
```
data_ReTcO5
_chemical_formula_sum 'Re2 Tc2 O10'
_cell_length_a 5.2771
_cell_length_b 5.2771
_cell_length_c 7.3544
_cell_angle_alpha 69.57
_cell_angle_beta 69.57
_cell_angle_gamma 75.17
_space_group_name_H-M_alt 'P 1'
_space_group_IT_number 1
loop_
_space_group_symop_operation_xyz
'x,y,z'
loop_
_atom_site_label
_atom_site_type_symbol
_atom_site_fract_x
_atom_site_fract_y
_atom_site_fract_z
O1 O 0.2982 0.6918 0.4641
O2 O 0.2642 0.2450 0.3709
O3 O 0.7358 0.7550 0.6291
O4 O 0.2450 0.2642 0.8709
O5 O 0.3082 0.7018 0.0359
O6 O 0.7018 0.3082 0.5359
O7 O 0.6918 0.2982 0.9641
O8 O 0.9501 0.0499 0.2500
O9 O 0.0499 0.9501 0.7500
O10 O 0.7550 0.7358 0.1291
Re1 Re 0.0000 0.0000 0.0000
Re2 Re 0.0000 0.0000 0.5000
Tc1 Tc 0.5214 0.4786 0.7500
Tc2 Tc 0.4786 0.5214 0.2500
```

Pick <ii>: it beats the second-best structure by 220 meV/atom.